DFT (GGA-PBE) results for a geometry-optimized CsTcGe2 structure.

Unit cell a=6.684 b=6.684 c=8.091 alpha=65.60 beta=65.60 gamma=90.00
Fractional positions:
Cs: 0.000 0.000 0.000
Cs: 0.750 0.250 0.500
Ge: 0.375 0.125 0.250
Ge: 0.375 0.625 0.250
Ge: 0.375 0.625 0.750
Ge: 0.875 0.625 0.750
Tc: 0.500 0.500 0.000
Tc: 0.250 0.750 0.500

Computed properties:
As for the density of states at the Fermi level: 3.29 states/eV per cell. As for the formation energy: 0.094 eV per atom. The total energy is -5.02 eV/atom.